# CaThCuNi, optimized geometry, DFT PBE
# DFT formation energy ... -119 meV per atom
# D(E_F) ... 1.57 states/eV per cell
# Total magnetic moment ... 0.0 Bohr magnetons per cell
data_CaThCuNi
_chemical_formula_sum 'Ca1 Th1 Cu1 Ni1'
_symmetry_space_group_name_H-M 'P 1'
_symmetry_Int_Tables_number 1
_cell_length_a 4.948
_cell_length_b 4.948
_cell_length_c 4.948
_cell_angle_alpha 60.00
_cell_angle_beta 60.00
_cell_angle_gamma 60.00
loop_
_symmetry_equiv_pos_as_xyz
'x,y,z'
loop_
_atom_site_label
_atom_site_type_symbol
_atom_site_fract_x
_atom_site_fract_y
_atom_site_fract_z
Ca1 Ca 0.000 0.000 0.000
Th1 Th 0.500 0.500 0.500
Cu1 Cu 0.750 0.750 0.750
Ni1 Ni 0.250 0.250 0.250